No. 1
The following is a DFT calculation (PBE-GGA) of a geometry-optimized ErAsPd6 structure.

Output
* spin magnetization: 0.00 Bohr magnetons per cell
* formation enthalpy at 0 K: -0.379 eV per atom

Unit cell a=6.4888 b=9.1409 c=5.6143 alpha=90.00 beta=124.31 gamma=90.00
Last column: nearest neighbours and their distance in Å.
Space group C2/m (No. 12)
Asymmetric unit:
Er 0.0000 0.0000 0.0000 x2  6 Pd 2.82, 2 As 2.85
As 0.0000 0.5000 0.5000 x2  6 Pd 2.54-2.55
Pd 0.0192 0.2647 0.7542 x8  1 As 2.55, 3 Pd 2.71-2.72, 1 Er 2.82
Pd 0.2457 0.0000 0.7163 x4  1 As 2.54, 3 Pd 2.71-2.72, 1 Er 2.82


No. 2
The following is a DFT calculation (PBE-GGA) of a geometry-optimized YLuSe3 structure.

Output
* spin magnetization: 0.00 Bohr magnetons per cell
* energy relative to the lowest polymorph listed for this composition: 0.2146 eV/atom

Unit cell a=16.0814 b=4.2367 c=9.2938 alpha=90.00 beta=104.53 gamma=90.00
Last column: nearest neighbours and their distance in Å.
Space group C2/m (No. 12)
Asymmetric unit:
Y 0.1469 0.0000 0.3663 x4  5 Se 2.75-2.95
Lu 0.1368 0.5000 0.8618 x4  6 Se 2.77-2.94
Se 0.0278 0.0000 0.7535 x4  1 Y 2.75, 2 Lu 2.77
Se 0.1637 0.5000 0.5606 x4  3 Y 2.75-2.95, 1 Lu 2.94
Se 0.1834 0.0000 0.0859 x4  3 Lu 2.81-2.93, 1 Y 2.81


No. 3
The following is a DFT calculation (PBE-GGA) of a geometry-optimized Cu2SiP structure.

Output
* VASP energy: -4.4784 eV/atom
* spin magnetization: 0.00 Bohr magnetons per cell

Unit cell a=2.7212 b=2.7212 c=24.6455 alpha=90.00 beta=90.00 gamma=120.00
Last column: nearest neighbours and their distance in Å.
Space group R3m (No. 160, hexagonal axes)
Asymmetric unit:
Cu 0.0000 0.0000 0.0000 x3  3 P 2.53, 9 Cu 2.58-2.72
Cu 0.0000 0.0000 0.2501 x3  3 Si 2.53, 9 Cu 2.58-2.72
Si 0.0000 0.0000 0.5027 x3  3 Cu 2.53, 3 P 2.70, 6 Si 2.72
P 0.0000 0.0000 0.7471 x3  3 Cu 2.53, 3 Si 2.70, 6 P 2.72


No. 4
The following is a DFT calculation (PBE-GGA) of a geometry-optimized RbNa2LiMo structure.

Output
* spin magnetization: 4.98 Bohr magnetons per cell
* formation enthalpy at 0 K: 1.205 eV per atom

Unit cell a=5.7633 b=5.7633 c=6.4007 alpha=90.00 beta=90.00 gamma=90.00
Last column: nearest neighbours and their distance in Å.
Space group P4/mmm (No. 123)
Asymmetric unit:
Rb 0.0000 0.0000 0.0000 x1  2 Li 3.20
Na 0.0000 0.5000 0.5000 x2  2 Li 2.88
Li 0.0000 0.0000 0.5000 x1  4 Na 2.88, 2 Rb 3.20
Mo 0.5000 0.5000 0.0000 x1  4 Rb 4.08, 8 Na 4.31


No. 5
The following is a DFT calculation (PBE-GGA) of a geometry-optimized CsSc structure.

Output
* spin magnetization: 0.00 Bohr magnetons per cell
* formation enthalpy at 0 K: 2.064 eV per atom

Unit cell a=6.9577 b=6.9577 c=6.9577 alpha=90.00 beta=90.00 gamma=90.00
Last column: nearest neighbours and their distance in Å.
Space group F-43m (No. 216)
Asymmetric unit:
Cs 0.0000 0.0000 0.0000 x4  4 Sc 3.01
Sc 0.2500 0.2500 0.2500 x4  4 Cs 3.01


No. 6
The following is a DFT calculation (PBE-GGA) of a geometry-optimized Na3PmSc2Te6 structure.

Output
* VASP energy: -4.5787 eV/atom
* spin magnetization: 0.00 Bohr magnetons per cell

Unit cell a=7.5122 b=13.0206 c=7.9497 alpha=90.00 beta=108.48 gamma=90.00
Last column: nearest neighbours and their distance in Å.
Space group C2/m (No. 12)
Asymmetric unit:
Na 0.0000 0.0000 0.0000 x2  6 Te 3.15-3.30
Na 0.0000 0.3398 0.0000 x4  6 Te 3.20-3.31
Pm 0.0000 0.5000 0.5000 x2  6 Te 3.14
Sc 0.0000 0.1679 0.5000 x4  6 Te 2.97-2.98
Te 0.2238 0.0000 0.7248 x4  2 Sc 2.98, 1 Pm 3.14, 3 Na 3.15-3.25
Te 0.2487 0.1755 0.2739 x8  2 Sc 2.97-2.98, 1 Pm 3.14, 3 Na 3.20-3.31